--- A ---
Os4C3: optimized geometry, PBE.

Unit cell a=4.0402 b=4.0402 c=5.9356 alpha=90.00 beta=90.00 gamma=120.00
Space group P6/mmm (No. 191)
Asymmetric unit:
Os 0.0000 0.0000 0.2228 x2
Os 0.3333 0.6667 0.5000 x2
C 0.0000 0.5000 0.0000 x3

- spin magnetization (μB per formula unit) = 0.0

--- B ---
Os4C3: optimized geometry, PBE.

Unit cell a=4.274 b=4.274 c=4.274 alpha=90.00 beta=90.00 gamma=90.00
Space group Pm-3m (No. 221)
Asymmetric unit:
Os 0.000 0.000 0.000 x1
Os 0.000 0.500 0.500 x3
C 0.000 0.000 0.500 x3

- spin magnetization (μB per formula unit) = 0.5

Consider the structures shown above. The most stable of them is B.